A plane-wave DFT calculation with PBE-GGA was carried out for a relaxed DyPuTeP crystal.

## Properties
For the total moment, the calculation gives 1.40 μB/atom. The calculation puts the density at 8.9 g cm⁻³. The value obtained for the total energy is -32.9 eV per cell. The value obtained for the formation energy without anion corrections is -130 kJ/mol of atoms. For the density of states at the Fermi level, the calculation gives 2.56 states/eV/atom.

Unit cell a=7.442 b=7.442 c=7.442 alpha=32.39 beta=32.39 gamma=32.39
Positions (direct):
Dy  0.000  0.000  0.000
Pu  0.524  0.524  0.524
Te  0.761  0.761  0.761
P  0.263  0.263  0.263